# 1
Density functional theory data (PBE) for GdPaCd4 after structural relaxation.

abc: 8.3573 8.3573 8.3573
angles: 90.00 90.00 90.00
Last column: nearest neighbours and their distance in Å.
Space group F-43m (No. 216)
Inequivalent atoms, fractional coordinates:
Gd1 0.0000 0.0000 0.0000 (multiplicity 4)  12 Cd 3.47, 4 Pa 3.62
Pa1 0.2500 0.2500 0.2500 (multiplicity 4)  12 Cd 3.46, 4 Gd 3.62
Cd1 0.1248 0.1248 0.6248 (multiplicity 16)  6 Cd 2.95-2.96

## Properties
- energy (eV/atom) = -4.565
- mass density (Mg/m³) = 9.535

---

# 2
Density functional theory data (PBE) for Gd2PaCd after structural relaxation.

abc: 3.4368 3.4368 9.2409
angles: 90.00 90.00 90.00
Last column: nearest neighbours and their distance in Å.
Space group P4/mmm (No. 123)
Inequivalent atoms, fractional coordinates:
Gd1 0.0000 0.0000 0.2434 (multiplicity 2)  4 Cd 3.31, 4 Pa 3.40, 4 Gd 3.44
Pa1 0.5000 0.5000 0.5000 (multiplicity 1)  8 Gd 3.40, 4 Pa 3.44
Cd1 0.5000 0.5000 0.0000 (multiplicity 1)  8 Gd 3.31, 4 Cd 3.44

## Properties
- energy (eV/atom) = -9.699
- mass density (Mg/m³) = 10.010

---

# 3
Density functional theory data (PBE) for GdPaCdRu after structural relaxation.

abc: 7.1601 7.1601 7.1601
angles: 90.00 90.00 90.00
Last column: nearest neighbours and their distance in Å.
Space group F-43m (No. 216)
Inequivalent atoms, fractional coordinates:
Gd1 0.0000 0.0000 0.0000 (multiplicity 4)  4 Cd 3.10, 4 Ru 3.10
Pa1 0.0000 0.0000 0.5000 (multiplicity 4)  4 Cd 3.10, 4 Ru 3.10
Cd1 0.2500 0.2500 0.2500 (multiplicity 4)  4 Gd 3.10, 4 Pa 3.10
Ru1 0.2500 0.2500 0.7500 (multiplicity 4)  4 Gd 3.10, 4 Pa 3.10

## Properties
- energy (eV/atom) = -8.466
- mass density (Mg/m³) = 10.889

---

# 4
Density functional theory data (PBE) for GdPaCdTc after structural relaxation.

abc: 7.1693 7.1693 7.1693
angles: 90.00 90.00 90.00
Last column: nearest neighbours and their distance in Å.
Space group F-43m (No. 216)
Inequivalent atoms, fractional coordinates:
Gd1 0.0000 0.0000 0.0000 (multiplicity 4)  4 Tc 3.10, 4 Cd 3.10
Pa1 0.0000 0.0000 0.5000 (multiplicity 4)  4 Cd 3.10, 4 Tc 3.10
Cd1 0.2500 0.2500 0.7500 (multiplicity 4)  4 Gd 3.10, 4 Pa 3.10
Tc1 0.2500 0.2500 0.2500 (multiplicity 4)  4 Gd 3.10, 4 Pa 3.10

## Properties
- energy (eV/atom) = -8.631
- mass density (Mg/m³) = 10.791

---

# 5
Density functional theory data (PBE) for Gd2CdPb after structural relaxation.

abc: 5.0558 5.0558 4.3224
angles: 90.00 90.00 90.00
Last column: nearest neighbours and their distance in Å.
Space group P4/mmm (No. 123)
Inequivalent atoms, fractional coordinates:
Gd1 0.0000 0.5000 0.0000 (multiplicity 2)  4 Pb 3.33, 4 Cd 3.33, 4 Gd 3.57
Cd1 0.0000 0.0000 0.5000 (multiplicity 1)  8 Gd 3.33, 4 Pb 3.57
Pb1 0.5000 0.5000 0.5000 (multiplicity 1)  8 Gd 3.33, 4 Cd 3.57

## Properties
- energy (eV/atom) = -8.648
- mass density (Mg/m³) = 9.530

---

# 6
Density functional theory data (PBE) for GdCd4Pb after structural relaxation.

abc: 8.4862 8.4862 8.4862
angles: 90.00 90.00 90.00
Last column: nearest neighbours and their distance in Å.
Space group F-43m (No. 216)
Inequivalent atoms, fractional coordinates:
Gd1 0.0000 0.0000 0.0000 (multiplicity 4)  12 Cd 3.52, 4 Pb 3.67
Cd1 0.1251 0.1251 0.6251 (multiplicity 16)  6 Cd 3.00
Pb1 0.2500 0.2500 0.2500 (multiplicity 4)  12 Cd 3.52, 4 Gd 3.67

## Properties
- energy (eV/atom) = -3.704
- mass density (Mg/m³) = 8.848

---

# 7
Density functional theory data (PBE) for Gd2CdPb after structural relaxation.

abc: 7.6437 7.6437 7.6437
angles: 90.00 90.00 90.00
Last column: nearest neighbours and their distance in Å.
Space group Fm-3m (No. 225)
Inequivalent atoms, fractional coordinates:
Gd1 0.2500 0.2500 0.2500 (multiplicity 8)  4 Pb 3.31, 4 Cd 3.31
Cd1 0.0000 0.0000 0.0000 (multiplicity 4)  8 Gd 3.31
Pb1 0.0000 0.0000 0.5000 (multiplicity 4)  8 Gd 3.31

## Properties
- energy (eV/atom) = -8.631
- mass density (Mg/m³) = 9.431

---

# 8
Density functional theory data (PBE) for Gd2CdPb after structural relaxation.

abc: 3.5514 3.5514 34.3289
angles: 90.00 90.00 120.00
Last column: nearest neighbours and their distance in Å.
Space group R-3m (No. 166, hexagonal axes)
Inequivalent atoms, fractional coordinates:
Gd1 0.0000 0.0000 0.0931 (multiplicity 6)  1 Pb 3.20, 3 Cd 3.25, 6 Gd 3.55
Cd1 0.0000 0.0000 0.5000 (multiplicity 3)  6 Gd 3.25, 6 Cd 3.55
Pb1 0.0000 0.0000 0.0000 (multiplicity 3)  2 Gd 3.20, 6 Pb 3.55

## Properties
- energy (eV/atom) = -8.217
- mass density (Mg/m³) = 8.424

---

# 9
Density functional theory data (PBE) for PmGdCdPb after structural relaxation.

abc: 7.6877 7.6877 7.6877
angles: 90.00 90.00 90.00
Last column: nearest neighbours and their distance in Å.
Space group F-43m (No. 216)
Inequivalent atoms, fractional coordinates:
Pm1 0.0000 0.0000 0.0000 (multiplicity 4)  4 Cd 3.33, 4 Pb 3.33
Gd1 0.0000 0.0000 0.5000 (multiplicity 4)  4 Cd 3.33, 4 Pb 3.33
Cd1 0.2500 0.2500 0.2500 (multiplicity 4)  4 Gd 3.33, 4 Pm 3.33
Pb1 0.2500 0.2500 0.7500 (multiplicity 4)  4 Gd 3.33, 4 Pm 3.33

## Properties
- energy (eV/atom) = -6.285
- mass density (Mg/m³) = 9.091

---

# 10
Density functional theory data (PBE) for PrGdCdPb after structural relaxation.

abc: 7.7429 7.7429 7.7429
angles: 90.00 90.00 90.00
Last column: nearest neighbours and their distance in Å.
Space group F-43m (No. 216)
Inequivalent atoms, fractional coordinates:
Pr1 0.0000 0.0000 0.0000 (multiplicity 4)  4 Pb 3.35, 4 Cd 3.35
Gd1 0.0000 0.0000 0.5000 (multiplicity 4)  4 Cd 3.35, 4 Pb 3.35
Cd1 0.2500 0.2500 0.2500 (multiplicity 4)  4 Pr 3.35, 4 Gd 3.35
Pb1 0.2500 0.2500 0.7500 (multiplicity 4)  4 Gd 3.35, 4 Pr 3.35

## Properties
- energy (eV/atom) = -6.294
- mass density (Mg/m³) = 8.839

---

# 11
Density functional theory data (PBE) for GdCdPtPb after structural relaxation.

abc: 7.1681 7.1681 7.1681
angles: 90.00 90.00 90.00
Last column: nearest neighbours and their distance in Å.
Space group F-43m (No. 216)
Inequivalent atoms, fractional coordinates:
Gd1 0.0000 0.0000 0.0000 (multiplicity 4)  4 Pt 3.10, 4 Cd 3.10
Cd1 0.2500 0.2500 0.7500 (multiplicity 4)  4 Gd 3.10, 4 Pb 3.10
Pt1 0.2500 0.2500 0.2500 (multiplicity 4)  4 Pb 3.10, 4 Gd 3.10
Pb1 0.0000 0.0000 0.5000 (multiplicity 4)  4 Cd 3.10, 4 Pt 3.10

## Properties
- energy (eV/atom) = -6.655
- mass density (Mg/m³) = 12.118

---

# 12
Density functional theory data (PBE) for SmGdCdPb after structural relaxation.

abc: 7.6704 7.6704 7.6704
angles: 90.00 90.00 90.00
Last column: nearest neighbours and their distance in Å.
Space group F-43m (No. 216)
Inequivalent atoms, fractional coordinates:
Sm1 0.0000 0.0000 0.0000 (multiplicity 4)  4 Cd 3.32, 4 Pb 3.32
Gd1 0.0000 0.0000 0.5000 (multiplicity 4)  4 Cd 3.32, 4 Pb 3.32
Cd1 0.2500 0.2500 0.7500 (multiplicity 4)  4 Gd 3.32, 4 Sm 3.32
Pb1 0.2500 0.2500 0.2500 (multiplicity 4)  4 Gd 3.32, 4 Sm 3.32

## Properties
- energy (eV/atom) = -6.273
- mass density (Mg/m³) = 9.232

---

Number 1: volume 24.322 Å³ per atom. Number 2: volume 27.287 Å³ per atom. Number 3: volume 22.942 Å³ per atom. Number 4: volume 23.031 Å³ per atom. Number 5: volume 27.621 Å³ per atom. Number 6: volume 25.464 Å³ per atom. Number 7: volume 27.912 Å³ per atom. Number 8: volume 31.248 Å³ per atom. Number 9: volume 28.396 Å³ per atom. Number 10: volume 29.013 Å³ per atom. Number 11: volume 23.019 Å³ per atom. Number 12: volume 28.205 Å³ per atom.